Entry 1:
VASP calculation (PBE) on ThZnCdPd2 after structural relaxation.

Lattice parameters (Å, degrees): 5.461 5.518 7.514 111.54 90.00 90.00
Fractional coordinates of all 10 atoms:
Zn (0.000, 0.000, 0.000)
Zn (0.000, 0.500, 0.000)
Pd (0.754, 0.653, 0.307)
Pd (0.246, 0.347, 0.693)
Pd (0.246, 0.153, 0.307)
Pd (0.754, 0.847, 0.693)
Th (0.251, 0.750, 0.500)
Th (0.749, 0.250, 0.500)
Cd (0.500, 0.250, 0.000)
Cd (0.500, 0.750, 0.000)

Computed properties:
Formation enthalpy at 0 K = -233.5 kJ/mol of formula units
Calculated total energy = -44.83 eV per cell
Space-group type = No. 67
M_tot = 0.00 Bohr magnetons per cell

Entry 2:
VASP calculation (PBE) on AcPmNdHo after structural relaxation.

Lattice parameters (Å, degrees): 3.742 3.742 11.963 90.00 90.00 120.00
Fractional coordinates of all 4 atoms:
Ac (0.333, 0.667, 0.921)
Ho (0.667, 0.333, 0.667)
Nd (0.000, 0.000, 0.428)
Pm (0.667, 0.333, 0.182)

Computed properties:
Formation enthalpy at 0 K = 20.2 kJ/mol of formula units
Energy above the most stable polymorph in this dataset = 0.0 meV/atom
Calculated total energy = -18.00 eV per cell
Space-group type = No. 156
M_tot = 0.00 Bohr magnetons per cell

Entry 3:
VASP calculation (PBE) on Sr2TaIr2 after structural relaxation.

Lattice parameters (Å, degrees): 3.997 3.997 7.546 74.64 74.64 90.00
Fractional coordinates of all 5 atoms:
Sr (0.250, 0.750, 0.500)
Sr (0.750, 0.250, 0.500)
Ir (0.412, 0.412, 0.175)
Ir (0.588, 0.588, 0.825)
Ta (0.000, 0.000, 0.000)

Computed properties:
Formation enthalpy at 0 K = 459.4 kJ/mol of formula units
Energy above the most stable polymorph in this dataset = 1057.6 meV/atom
Calculated total energy = -28.18 eV per cell
Space-group type = No. 139
M_tot = 0.00 Bohr magnetons per cell

Entry 4:
VASP calculation (PBE) on CuSnI2N after structural relaxation.

Lattice parameters (Å, degrees): 6.046 6.046 3.891 90.00 90.00 90.00
Last column: magnetic moment on the atom in μB.
Fractional coordinates of all 5 atoms:
Sn (0.000, 0.000, 0.000)  -0.01
I (0.500, 0.000, 0.000)  0.01
I (0.000, 0.500, 0.000)  0.01
Cu (0.500, 0.500, 0.500)  0.00
N (0.000, 0.000, 0.500)  0.07

Computed properties:
Formation energy without anion corrections = 79.5 kJ/mol of atoms
Energy above the most stable polymorph in this dataset = 257.5 meV/atom
Calculated total energy = -15.40 eV per cell
Space-group type = No. 123
M_tot = 0.11 Bohr magnetons per cell

Entry 5:
VASP calculation (PBE) on CsScTl2Os after structural relaxation.

Lattice parameters (Å, degrees): 5.381 5.724 5.381 90.00 90.00 90.00
Last column: magnetic moment on the atom in μB.
Fractional coordinates of all 5 atoms:
Tl (0.500, 0.000, 0.000)  0.00
Tl (0.000, 0.000, 0.500)  0.00
Cs (0.000, 0.500, 0.000)  0.02
Os (0.000, 0.000, 0.000)  -0.02
Sc (0.500, 0.500, 0.500)  0.70

Computed properties:
Formation enthalpy at 0 K = 521.0 kJ/mol of formula units
Calculated total energy = -17.75 eV per cell
Space-group type = No. 123
M_tot = 1.06 Bohr magnetons per cell

Entry 6:
VASP calculation (PBE) on NdDyPa after structural relaxation.

Lattice parameters (Å, degrees): 3.454 3.454 8.682 90.00 90.00 120.00
Fractional coordinates of all 3 atoms:
Pa (0.000, 0.000, 0.003)
Dy (0.667, 0.333, 0.316)
Nd (0.333, 0.667, 0.681)

Computed properties:
Formation enthalpy at 0 K = 44.8 kJ/mol of formula units
Energy above the most stable polymorph in this dataset = 0.0 meV/atom
Calculated total energy = -18.40 eV per cell
Space-group type = No. 156
M_tot = 0.00 Bohr magnetons per cell

Entry 7:
VASP calculation (PBE) on Sr2ZnNi3As4 after structural relaxation.

Lattice parameters (Å, degrees): 4.274 4.274 10.014 90.00 90.00 90.00
Fractional coordinates of all 10 atoms:
As (0.000, 0.000, 0.000)
As (0.500, 0.000, 0.641)
As (0.000, 0.500, 0.359)
As (0.500, 0.500, 0.000)
Ni (0.500, 0.000, 0.885)
Ni (0.000, 0.500, 0.115)
Ni (0.000, 0.000, 0.500)
Sr (0.000, 0.500, 0.757)
Sr (0.500, 0.000, 0.243)
Zn (0.500, 0.500, 0.500)

Computed properties:
Formation enthalpy at 0 K = -616.1 kJ/mol of formula units
Calculated total energy = -46.96 eV per cell
Space-group type = No. 115
M_tot = 0.00 Bohr magnetons per cell

Entry 8:
VASP calculation (PBE) on Ba3Cd6Au5 after structural relaxation.

Lattice parameters (Å, degrees): 4.797 10.615 14.512 90.00 90.00 90.00
Fractional coordinates of all 28 atoms:
Au (0.000, 0.784, 0.000)
Au (0.500, 0.216, 0.500)
Au (0.000, 0.860, 0.341)
Au (0.500, 0.451, 0.382)
Au (0.000, 0.860, 0.659)
Au (0.500, 0.140, 0.841)
Au (0.000, 0.549, 0.118)
Au (0.000, 0.549, 0.882)
Au (0.500, 0.140, 0.159)
Au (0.500, 0.451, 0.618)
Ba (0.000, 0.243, 0.690)
Ba (0.500, 0.730, 0.500)
Ba (0.500, 0.757, 0.190)
Ba (0.500, 0.757, 0.810)
Ba (0.000, 0.270, 0.000)
Ba (0.000, 0.243, 0.310)
Cd (0.000, 0.988, 0.145)
Cd (0.000, 0.029, 0.500)
Cd (0.000, 0.443, 0.500)
Cd (0.500, 0.557, 0.000)
Cd (0.000, 0.587, 0.680)
Cd (0.500, 0.971, 0.000)
Cd (0.000, 0.587, 0.320)
Cd (0.000, 0.988, 0.855)
Cd (0.500, 0.413, 0.180)
Cd (0.500, 0.012, 0.355)
Cd (0.500, 0.012, 0.645)
Cd (0.500, 0.413, 0.820)

Computed properties:
Formation enthalpy at 0 K = -639.9 kJ/mol of formula units
Calculated total energy = -68.56 eV per cell
Space-group type = No. 59
M_tot = 0.00 Bohr magnetons per cell

Entry 9:
VASP calculation (PBE) on MnVHAu2 after structural relaxation.

Lattice parameters (Å, degrees): 5.034 3.020 5.034 90.00 90.00 90.00
Last column: magnetic moment on the atom in μB.
Fractional coordinates of all 5 atoms:
V (0.500, 0.500, 0.500)  0.13
Au (0.000, 0.000, 0.500)  0.10
Au (0.500, 0.000, 0.000)  0.06
Mn (0.000, 0.000, 0.000)  3.45
H (0.000, 0.500, 0.000)  -0.04

Computed properties:
Calculated total energy = -25.48 eV per cell
Space-group type = No. 123
M_tot = 3.80 Bohr magnetons per cell

Entry 10:
VASP calculation (PBE) on TlPb3Se4 after structural relaxation.

Lattice parameters (Å, degrees): 6.170 9.740 9.454 90.00 90.00 90.00
Fractional coordinates of all 16 atoms:
Tl (0.065, 0.171, 0.000)
Tl (0.565, 0.829, 0.500)
Pb (0.064, 0.661, 0.758)
Pb (0.064, 0.661, 0.242)
Pb (0.564, 0.339, 0.742)
Pb (0.564, 0.845, 0.000)
Pb (0.064, 0.155, 0.500)
Pb (0.564, 0.339, 0.258)
Se (0.064, 0.826, 0.500)
Se (0.064, 0.345, 0.260)
Se (0.064, 0.862, 0.000)
Se (0.064, 0.345, 0.740)
Se (0.564, 0.655, 0.760)
Se (0.564, 0.174, 0.000)
Se (0.564, 0.138, 0.500)
Se (0.564, 0.655, 0.240)

Computed properties:
Formation energy without anion corrections = -39.8 kJ/mol of atoms
Energy above the most stable polymorph in this dataset = 63.7 meV/atom
Calculated total energy = -61.46 eV per cell
Space-group type = No. 59
M_tot = 0.00 Bohr magnetons per cell

Entry 11:
VASP calculation (PBE) on La5Mg after structural relaxation.

Lattice parameters (Å, degrees): 8.138 8.138 5.247 90.00 90.00 143.26
Fractional coordinates of all 6 atoms:
Mg (0.972, 0.028, 0.000)
La (0.304, 0.696, 0.000)
La (0.136, 0.864, 0.500)
La (0.640, 0.360, 0.000)
La (0.472, 0.528, 0.500)
La (0.808, 0.192, 0.500)

Computed properties:
Formation enthalpy at 0 K = -1.4 kJ/mol of formula units
Energy above the most stable polymorph in this dataset = 29.5 meV/atom
Calculated total energy = -26.25 eV per cell
Space-group type = No. 65
M_tot = 0.00 Bohr magnetons per cell

Entry 12:
VASP calculation (PBE) on NbHgSe2Br after structural relaxation.

Lattice parameters (Å, degrees): 5.200 5.200 5.384 90.00 90.00 90.00
Last column: magnetic moment on the atom in μB.
Fractional coordinates of all 5 atoms:
Br (0.000, 0.000, 0.500)  -0.06
Se (0.500, 0.000, 0.000)  -0.22
Se (0.000, 0.500, 0.000)  -0.22
Nb (0.500, 0.500, 0.500)  2.64
Hg (0.000, 0.000, 0.000)  0.01

Computed properties:
Formation energy without anion corrections = 88.3 kJ/mol of atoms
Energy above the most stable polymorph in this dataset = 1196.7 meV/atom
Calculated total energy = -14.44 eV per cell
Space-group type = No. 123
M_tot = 2.58 Bohr magnetons per cell

Entry 13:
VASP calculation (PBE) on Ac3InRh4 after structural relaxation.

Lattice parameters (Å, degrees): 4.289 6.079 8.865 110.05 104.00 90.00
Fractional coordinates of all 8 atoms:
Rh (0.376, 0.157, 0.751)
Rh (0.624, 0.406, 0.249)
Rh (0.376, 0.594, 0.751)
Rh (0.624, 0.843, 0.249)
Ac (0.196, 0.196, 0.392)
Ac (0.000, 0.500, 0.000)
Ac (0.804, 0.804, 0.608)
In (0.500, 0.000, 0.000)

Computed properties:
Formation enthalpy at 0 K = -440.7 kJ/mol of formula units
Calculated total energy = -49.04 eV per cell
Space-group type = No. 71
M_tot = 0.00 Bohr magnetons per cell

Entry 14:
VASP calculation (PBE) on Ca2BeRh2 after structural relaxation.

Lattice parameters (Å, degrees): 6.432 6.432 4.471 90.00 90.00 90.00
Fractional coordinates of all 10 atoms:
Rh (0.149, 0.351, 0.000)
Rh (0.649, 0.149, 0.000)
Rh (0.351, 0.851, 0.000)
Rh (0.851, 0.649, 0.000)
Be (0.500, 0.500, 0.000)
Be (0.000, 0.000, 0.000)
Ca (0.172, 0.672, 0.500)
Ca (0.828, 0.328, 0.500)
Ca (0.672, 0.828, 0.500)
Ca (0.328, 0.172, 0.500)

Computed properties:
Formation enthalpy at 0 K = -151.0 kJ/mol of formula units
Energy above the most stable polymorph in this dataset = 110.3 meV/atom
Calculated total energy = -47.99 eV per cell
Space-group type = No. 127
M_tot = 0.00 Bohr magnetons per cell

Entry 15:
VASP calculation (PBE) on YPuSc2Se4 after structural relaxation.

Lattice parameters (Å, degrees): 3.970 6.930 6.920 70.93 90.00 90.00
Last column: magnetic moment on the atom in μB.
Fractional coordinates of all 8 atoms:
Se (0.000, 0.233, 0.254)  -0.01
Se (0.500, 0.232, 0.758)  -0.03
Se (0.000, 0.767, 0.746)  -0.01
Se (0.500, 0.768, 0.242)  -0.03
Y (0.500, 0.500, 0.000)  0.06
Pu (0.000, 0.500, 0.500)  5.45
Sc (0.500, 0.000, 0.500)  0.09
Sc (0.000, 0.000, 0.000)  -0.04

Computed properties:
Formation energy without anion corrections = -157.5 kJ/mol of atoms
Calculated total energy = -60.46 eV per cell
Space-group type = No. 10
M_tot = 5.92 Bohr magnetons per cell

Entry 16:
VASP calculation (PBE) on Sm8Zn2In after structural relaxation.

Lattice parameters (Å, degrees): 5.311 8.502 8.636 118.00 107.91 90.00
Fractional coordinates of all 11 atoms:
Zn (0.222, 0.618, 0.444)
Zn (0.778, 0.382, 0.556)
Sm (0.146, 0.207, 0.293)
Sm (0.854, 0.793, 0.707)
Sm (0.602, 0.458, 0.203)
Sm (0.068, 0.723, 0.135)
Sm (0.685, 0.961, 0.369)
Sm (0.315, 0.039, 0.631)
Sm (0.932, 0.277, 0.865)
Sm (0.398, 0.542, 0.797)
In (0.500, 0.000, 0.000)

Computed properties:
Formation enthalpy at 0 K = -201.1 kJ/mol of formula units
Calculated total energy = -45.12 eV per cell
Space-group type = No. 12
M_tot = 0.00 Bohr magnetons per cell

Entry 17:
VASP calculation (PBE) on CsNiSb3 after structural relaxation.

Lattice parameters (Å, degrees): 5.282 5.282 5.282 90.00 90.00 90.00
Fractional coordinates of all 5 atoms:
Ni (0.000, 0.000, 0.000)
Sb (0.500, 0.000, 0.000)
Sb (0.000, 0.000, 0.500)
Sb (0.000, 0.500, 0.000)
Cs (0.500, 0.500, 0.500)

Computed properties:
Formation energy without anion corrections = 12.9 kJ/mol of atoms
Energy above the most stable polymorph in this dataset = 0.0 meV/atom
Calculated total energy = -18.33 eV per cell
Space-group type = No. 221
M_tot = 0.00 Bohr magnetons per cell

Entry 18:
VASP calculation (PBE) on Cs2SrH2I2 after structural relaxation.

Lattice parameters (Å, degrees): 5.214 5.214 10.395 104.53 104.53 90.00
Fractional coordinates of all 7 atoms:
H (0.000, 0.500, 0.000)
H (0.500, 0.000, 0.000)
Sr (0.000, 0.000, 0.000)
I (0.831, 0.831, 0.662)
I (0.169, 0.169, 0.338)
Cs (0.625, 0.625, 0.249)
Cs (0.375, 0.375, 0.751)

Computed properties:
Calculated total energy = -20.15 eV per cell
Space-group type = No. 139
M_tot = 0.00 Bohr magnetons per cell

Entry 19:
VASP calculation (PBE) on Na2PrTlO4 after structural relaxation.

Lattice parameters (Å, degrees): 6.986 6.986 7.137 120.73 120.73 89.61
Fractional coordinates of all 16 atoms:
Na (0.500, 0.000, 0.000)
Na (0.500, 0.500, 0.000)
Na (0.500, 0.000, 0.500)
Na (0.000, 0.000, 0.500)
Tl (0.000, 0.000, 0.000)
Tl (0.500, 0.500, 0.500)
Pr (0.000, 0.500, 0.000)
Pr (0.000, 0.500, 0.500)
O (0.248, 0.252, 0.475)
O (0.752, 0.748, 0.525)
O (0.769, 0.265, 0.017)
O (0.752, 0.748, 0.975)
O (0.765, 0.269, 0.517)
O (0.248, 0.252, 0.025)
O (0.235, 0.731, 0.483)
O (0.231, 0.735, 0.983)

Computed properties:
Formation energy without anion corrections = -172.6 kJ/mol of atoms
Calculated total energy = -87.85 eV per cell
Space-group type = No. 74
M_tot = 0.01 Bohr magnetons per cell

Entry 20:
VASP calculation (PBE) on Ba2Sr2Br7 after structural relaxation.

Lattice parameters (Å, degrees): 7.538 7.722 7.538 89.99 95.89 90.01
Last column: magnetic moment on the atom in μB.
Fractional coordinates of all 11 atoms:
Ba (0.236, 0.500, 0.236)  0.08
Ba (0.764, 0.500, 0.764)  0.08
Sr (0.272, 0.000, 0.728)  0.00
Sr (0.728, 0.000, 0.272)  0.00
Br (0.000, 0.251, 0.500)  0.00
Br (0.500, 0.251, 0.000)  0.00
Br (0.000, 0.000, 0.000)  0.01
Br (0.500, 0.759, 0.500)  0.01
Br (0.500, 0.241, 0.500)  0.01
Br (0.000, 0.749, 0.500)  0.00
Br (0.500, 0.749, 0.000)  0.00

Computed properties:
Formation energy without anion corrections = -193.6 kJ/mol of atoms
Energy above the most stable polymorph in this dataset = 11.0 meV/atom
Calculated total energy = -40.99 eV per cell
Space-group type = No. 65
M_tot = 0.95 Bohr magnetons per cell